# RbAlC

RbAlC after structural relaxation (PBE, the Alexandria database).

Unit cell a=8.667 b=5.115 c=8.680 alpha=90.00 beta=115.35 gamma=90.00
Space group Cm (No. 8)
Inequivalent atoms, fractional coordinates:
Rb 0.000 0.000 0.000 [2 per cell]
Rb 0.012 0.500 0.331 [2 per cell]
Al 0.059 0.500 0.745 [2 per cell]
Al 0.196 0.000 0.707 [2 per cell]
C 0.176 0.000 0.439 [2 per cell]
C 0.333 0.000 0.549 [2 per cell]

# RbAlC

RbAlC after structural relaxation (PBE, the Alexandria database).

Unit cell a=3.5006 b=3.5006 c=5.6256 alpha=90.00 beta=90.00 gamma=120.00
Space group P-6m2 (No. 187)
Inequivalent atoms, fractional coordinates:
Rb 0.0000 0.0000 0.0000 [1 per cell]
Al 0.3333 0.6667 0.5000 [1 per cell]
C 0.6667 0.3333 0.5000 [1 per cell]

# RbAlC

RbAlC after structural relaxation (PBE, the Alexandria database).

Unit cell a=4.520 b=21.146 c=2.783 alpha=90.00 beta=90.00 gamma=90.00
Space group Cmcm (No. 63)
Inequivalent atoms, fractional coordinates:
Rb 0.000 0.094 0.250 [4 per cell]
Al 0.000 0.263 0.750 [4 per cell]
C 0.000 0.495 0.250 [4 per cell]

# RbAlC

RbAlC after structural relaxation (PBE, the Alexandria database).

Unit cell a=9.139 b=5.282 c=6.589 alpha=90.00 beta=117.53 gamma=90.00
Space group C2/m (No. 12)
Inequivalent atoms, fractional coordinates:
Rb 0.117 0.000 0.349 [4 per cell]
Al 0.151 0.500 0.953 [4 per cell]
C 0.036 0.500 0.608 [4 per cell]

Number 1: uncorrected energy -4.2365 eV per atom, DOS at the Fermi energy 0.000 states/eV/atom, formation energy 0.408 eV/atom. Number 2: uncorrected energy -4.2285 eV per atom, DOS at the Fermi energy 0.022 states/eV/atom, formation energy 0.416 eV/atom. Number 3: uncorrected energy -4.1303 eV per atom, DOS at the Fermi energy 0.149 states/eV/atom, formation energy 0.514 eV/atom. Number 4: uncorrected energy -4.4128 eV per atom, DOS at the Fermi energy 0.042 states/eV/atom, formation energy 0.232 eV/atom.